[1]
Cs2LiNpF6 | GGA-PBE | relaxed

Structure (POSCAR):
```
Cs2LiNpF6
1.0
0.000 4.530 4.530
4.530 0.000 4.530
4.530 4.530 0.000
Cs Li Np F
2 1 1 6
direct
0.250 0.250 0.250
0.750 0.750 0.750
0.000 0.000 0.000
0.500 0.500 0.500
0.245 0.245 0.755
0.245 0.755 0.245
0.245 0.755 0.755
0.755 0.245 0.245
0.755 0.245 0.755
0.755 0.755 0.245
```

Output
* energy relative to the elements, uncorrected: -3.0425 eV/atom
* total DFT energy (no corrections): -58.2 eV per cell
* symmetry: No. 225
* DOS(E_F): 0.33 states/eV/f.u.
* calculated volume: 185.9 Å³/cell

=====

[2]
Cs2LiOsF6 | GGA-PBE | relaxed

Structure (POSCAR):
```
Cs2LiOsF6
1.0
-3.077 3.077 4.370
3.077 -3.077 4.370
3.077 3.077 -4.370
Cs Li Os F
2 1 1 6
direct
0.250 0.750 0.500
0.750 0.250 0.500
0.000 0.000 0.000
0.500 0.500 0.000
0.262 0.262 0.523
0.262 0.738 0.000
0.263 0.263 0.000
0.737 0.737 0.000
0.738 0.262 0.000
0.738 0.738 0.477
```

Output
* energy relative to the elements, uncorrected: -2.2129 eV/atom
* total DFT energy (no corrections): -48.2 eV per cell
* symmetry: No. 139
* DOS(E_F): 22.68 states/eV/f.u.
* calculated volume: 165.5 Å³/cell

=====

[3]
CsLiPaF6 | GGA-PBE | relaxed

Structure (POSCAR):
```
CsLiPaF6
1.0
-3.661 4.078 5.256
3.661 -4.078 5.256
3.661 4.078 -5.256
Cs Li Pa F
2 2 2 12
direct
0.339 0.089 0.250
0.661 0.911 0.750
0.000 0.000 0.500
0.000 0.500 0.000
0.000 0.500 0.500
0.500 0.500 0.000
0.080 0.371 0.211
0.080 0.869 0.709
0.107 0.357 0.750
0.340 0.131 0.711
0.340 0.629 0.209
0.362 0.612 0.750
0.638 0.388 0.250
0.660 0.371 0.791
0.660 0.869 0.289
0.893 0.643 0.250
0.920 0.131 0.291
0.920 0.629 0.789
```

Output
* energy relative to the elements, uncorrected: -3.3616 eV/atom
* total DFT energy (no corrections): -107.5 eV per cell
* symmetry: No. 74
* DOS(E_F): 1.02 states/eV/f.u.
* calculated volume: 313.9 Å³/cell

=====

[4]
Cs2LiPaF6 | GGA-PBE | relaxed

Structure (POSCAR):
```
Cs2LiPaF6
1.0
6.449 0.000 0.000
-3.223 5.589 0.000
-0.003 -3.722 5.352
Cs Li Pa F
2 1 1 6
direct
0.249 0.498 0.247
0.751 0.502 0.753
0.500 0.000 0.000
0.000 0.000 0.500
0.249 0.995 0.241
0.254 0.005 0.759
0.254 0.507 0.758
0.746 0.493 0.242
0.746 0.995 0.241
0.751 0.005 0.759
```

Output
* energy relative to the elements, uncorrected: -3.0018 eV/atom
* total DFT energy (no corrections): -54.4 eV per cell
* symmetry: No. 2
* DOS(E_F): 4.21 states/eV/f.u.
* calculated volume: 192.9 Å³/cell